Sr2Hg6Bi | PBE | optimized geometry

Values from the calculation:
The calculation puts the total energy at -1.354 eV/atom. As for the density of states at the Fermi level: 4.21 states/eV/f.u. The value obtained for the total magnetization is 0.0000 μB per atom.

Unit cell a=6.9724 b=6.9724 c=6.2954 alpha=90.00 beta=90.00 gamma=120.00
Space group P-3m1 (No. 164)
Inequivalent atoms, fractional coordinates:
1 Sr 0.3333 0.6667 0.1841
2 Hg 0.1854 0.3708 0.6638
3 Bi 0.0000 0.0000 0.0000

***

SrHg2Bi2 | PBE | optimized geometry

Values from the calculation:
As for the energy relative to the lowest polymorph listed for this composition: 0.42 eV per formula unit. The calculation puts the total energy at -2.244 eV/atom. As for the density of states at the Fermi level: 1.58 states/eV/f.u. The value obtained for the total magnetization is 0.0000 μB per atom.

Unit cell a=10.231 b=12.510 c=7.150 alpha=90.00 beta=132.30 gamma=90.00
Space group C2/c (No. 15)
Inequivalent atoms, fractional coordinates:
1 Sr 0.000 0.144 0.250
2 Hg 0.148 0.324 0.715
3 Bi 0.000 0.122 0.750
4 Bi 0.000 0.450 0.250

***

Sr2Hg4Bi5 | PBE | optimized geometry

Values from the calculation:
The calculation puts the total energy at -2.444 eV/atom. As for the density of states at the Fermi level: 4.84 states/eV/f.u. The value obtained for the total magnetization is 0.0000 μB per atom.

Unit cell a=12.031 b=6.806 c=9.611 alpha=90.00 beta=117.22 gamma=90.00
Space group C2/m (No. 12)
Inequivalent atoms, fractional coordinates:
1 Sr 0.079 0.000 0.246
2 Hg 0.117 0.500 0.356
3 Hg 0.232 0.000 0.011
4 Bi 0.000 0.500 0.000
5 Bi 0.136 0.234 0.641

***

Sr2Hg2Bi | PBE | optimized geometry

Values from the calculation:
As for the energy relative to the lowest polymorph listed for this composition: 0.00 eV per formula unit. The calculation puts the total energy at -2.139 eV/atom. As for the density of states at the Fermi level: 2.55 states/eV/f.u. The value obtained for the total magnetization is 0.0000 μB per atom.

Unit cell a=8.376 b=8.376 c=4.685 alpha=90.00 beta=90.00 gamma=90.00
Space group P4/mbm (No. 127)
Inequivalent atoms, fractional coordinates:
1 Sr 0.179 0.321 0.000
2 Hg 0.124 0.624 0.500
3 Bi 0.000 0.000 0.500

***

Copy entry 4 word for word.
Sr2Hg2Bi | PBE | optimized geometry

Values from the calculation:
As for the energy relative to the lowest polymorph listed for this composition: 0.00 eV per formula unit. The calculation puts the total energy at -2.139 eV/atom. As for the density of states at the Fermi level: 2.55 states/eV/f.u. The value obtained for the total magnetization is 0.0000 μB per atom.

Unit cell a=8.376 b=8.376 c=4.685 alpha=90.00 beta=90.00 gamma=90.00
Space group P4/mbm (No. 127)
Inequivalent atoms, fractional coordinates:
1 Sr 0.179 0.321 0.000
2 Hg 0.124 0.624 0.500
3 Bi 0.000 0.000 0.500

***

- Which value of total magnetization does entry 2 give?
  0.0000 μB per atom